Computed, not measured: TmZr2Fe after structural relaxation at the PBE level of DFT.

```
TmZr2Fe
1.0
-2.284 -1.917 -1.307
2.248 -1.372 -1.916
1.420 -5.524 5.621
Zr Fe Tm
2 1 1
direct
0.000 0.000 0.808
0.000 0.000 0.192
0.500 0.500 0.000
0.500 0.500 0.500
```

Values from the calculation:
Its total moment is 0.46 μB per atom. The formation energy comes out at 0.042 eV/atom.

***

Computed, not measured: Cs2K6Hg after structural relaxation at the PBE level of DFT.

```
Cs2K6Hg
1.0
5.006 0.000 -0.076
0.000 13.375 0.000
-2.135 -6.687 9.855
Hg K Cs
1 6 2
direct
0.000 0.000 0.000
0.500 0.194 0.000
0.156 0.327 0.350
0.156 0.023 0.350
0.844 0.673 0.650
0.844 0.977 0.650
0.500 0.806 0.000
0.789 0.377 0.755
0.211 0.623 0.245
```

Values from the calculation:
Its total moment is 0.00 μB per atom. The formation energy comes out at -0.025 eV/atom.

***

Computed, not measured: Zr3ScTl2 after structural relaxation at the PBE level of DFT.

```
Zr3ScTl2
1.0
-4.256 1.987 -3.363
1.501 -1.066 -2.714
-1.166 -16.207 5.574
Tl Zr Sc
4 6 2
direct
0.252 0.747 0.500
0.748 0.253 0.500
0.248 0.751 0.000
0.752 0.249 0.000
0.803 0.758 0.169
0.196 0.220 0.328
0.308 0.270 0.170
0.692 0.730 0.830
0.804 0.780 0.672
0.197 0.242 0.831
0.702 0.729 0.332
0.298 0.271 0.668
```

Values from the calculation:
Its total moment is 0.00 μB per atom. The formation energy comes out at -0.060 eV/atom.

***

Number 1: excess energy over the best structure of this formula in the dataset 116 meV/atom. Number 2: excess energy over the best structure of this formula in the dataset 18 meV/atom. Number 3: excess energy over the best structure of this formula in the dataset 0 meV/atom.